## BeCrAsO6 (PBE+U)

Data for a relaxed structure of BeCrAsO6.

Computed properties:
E_tot = -6.453 eV per atom

Cell and atoms, written as CIF:
```
data_BeCrAsO6
_chemical_formula_sum 'Be2 Cr2 As2 O12'
_cell_length_a 4.7258
_cell_length_b 4.7258
_cell_length_c 8.3965
_cell_angle_alpha 90.00
_cell_angle_beta 90.00
_cell_angle_gamma 120.00
_space_group_name_H-M_alt 'P -3 1 c'
_space_group_IT_number 163
_space_group_name_Hall '-P 3 2c'
loop_
_atom_site_label
_atom_site_type_symbol
_atom_site_fract_x
_atom_site_fract_y
_atom_site_fract_z
_atom_site_occupancy
Be1 Be 0.3333 0.6667 0.2500 1
Cr1 Cr 0.0000 0.0000 0.0000 1
As1 As 0.3333 0.6667 0.7500 1
O1 O 0.0043 0.3457 0.1328 1
```